(1)
# VSeBr2F

A relaxed structure of VSeBr2F (PBE with a Hubbard U, Alexandria).

```
data_VSeBr2F
_chemical_formula_sum 'V1 Se1 Br2 F1'
_cell_length_a 4.950
_cell_length_b 4.950
_cell_length_c 4.729
_cell_angle_alpha 90.00
_cell_angle_beta 90.00
_cell_angle_gamma 90.00
_space_group_name_H-M_alt 'P 4/m m m'
_space_group_IT_number 123
_space_group_name_Hall '-P 4 2'
loop_
_atom_site_label
_atom_site_type_symbol
_atom_site_fract_x
_atom_site_fract_y
_atom_site_fract_z
V1 V 0.000 0.000 0.000
Se1 Se 0.000 0.000 0.500
Br1 Br 0.000 0.500 0.000
F1 F 0.500 0.500 0.500
```

=====

(2)
# VSeBr2F

A relaxed structure of VSeBr2F (PBE with a Hubbard U, Alexandria).

```
data_VSeBr2F
_chemical_formula_sum 'V1 Se1 Br2 F1'
_cell_length_a 5.596
_cell_length_b 5.596
_cell_length_c 3.920
_cell_angle_alpha 90.00
_cell_angle_beta 90.00
_cell_angle_gamma 90.00
_space_group_name_H-M_alt 'P 4/m m m'
_space_group_IT_number 123
_space_group_name_Hall '-P 4 2'
loop_
_atom_site_label
_atom_site_type_symbol
_atom_site_fract_x
_atom_site_fract_y
_atom_site_fract_z
V1 V 0.000 0.000 0.000
Se1 Se 0.500 0.500 0.000
Br1 Br 0.000 0.500 0.500
F1 F 0.500 0.500 0.500
```

=====

(3)
# VSe2BrF

A relaxed structure of VSe2BrF (PBE with a Hubbard U, Alexandria).

```
data_VSe2BrF
_chemical_formula_sum 'V1 Se2 Br1 F1'
_cell_length_a 4.740
_cell_length_b 4.740
_cell_length_c 4.975
_cell_angle_alpha 90.00
_cell_angle_beta 90.00
_cell_angle_gamma 90.00
_space_group_name_H-M_alt 'P 4/m m m'
_space_group_IT_number 123
_space_group_name_Hall '-P 4 2'
loop_
_atom_site_label
_atom_site_type_symbol
_atom_site_fract_x
_atom_site_fract_y
_atom_site_fract_z
V1 V 0.000 0.000 0.000
Se1 Se 0.000 0.500 0.000
Br1 Br 0.000 0.000 0.500
F1 F 0.500 0.500 0.500
```

=====

(4)
# VSe2BrF

A relaxed structure of VSe2BrF (PBE with a Hubbard U, Alexandria).

```
data_VSe2BrF
_chemical_formula_sum 'V1 Se2 Br1 F1'
_cell_length_a 4.348
_cell_length_b 4.348
_cell_length_c 5.929
_cell_angle_alpha 90.00
_cell_angle_beta 90.00
_cell_angle_gamma 90.00
_space_group_name_H-M_alt 'P 4/m m m'
_space_group_IT_number 123
_space_group_name_Hall '-P 4 2'
loop_
_atom_site_label
_atom_site_type_symbol
_atom_site_fract_x
_atom_site_fract_y
_atom_site_fract_z
V1 V 0.000 0.000 0.000
Se1 Se 0.000 0.500 0.500
Br1 Br 0.500 0.500 0.000
F1 F 0.500 0.500 0.500
```

=====

(5)
# WSeBr2F

A relaxed structure of WSeBr2F (PBE with a Hubbard U, Alexandria).

```
data_WSeBr2F
_chemical_formula_sum 'W1 Se1 Br2 F1'
_cell_length_a 5.244
_cell_length_b 5.244
_cell_length_c 5.044
_cell_angle_alpha 90.00
_cell_angle_beta 90.00
_cell_angle_gamma 90.00
_space_group_name_H-M_alt 'P 4/m m m'
_space_group_IT_number 123
_space_group_name_Hall '-P 4 2'
loop_
_atom_site_label
_atom_site_type_symbol
_atom_site_fract_x
_atom_site_fract_y
_atom_site_fract_z
W1 W 0.000 0.000 0.000
Se1 Se 0.000 0.000 0.500
Br1 Br 0.000 0.500 0.000
F1 F 0.500 0.500 0.500
```

=====

(6)
# WSe2BrF

A relaxed structure of WSe2BrF (PBE with a Hubbard U, Alexandria).

```
data_WSe2BrF
_chemical_formula_sum 'W1 Se2 Br1 F1'
_cell_length_a 4.369
_cell_length_b 4.369
_cell_length_c 6.060
_cell_angle_alpha 90.00
_cell_angle_beta 90.00
_cell_angle_gamma 90.00
_space_group_name_H-M_alt 'P 4/m m m'
_space_group_IT_number 123
_space_group_name_Hall '-P 4 2'
loop_
_atom_site_label
_atom_site_type_symbol
_atom_site_fract_x
_atom_site_fract_y
_atom_site_fract_z
W1 W 0.000 0.000 0.000
Se1 Se 0.000 0.500 0.500
Br1 Br 0.500 0.500 0.000
F1 F 0.500 0.500 0.500
```

=====

(7)
# WSe2BrF

A relaxed structure of WSe2BrF (PBE with a Hubbard U, Alexandria).

```
data_WSe2BrF
_chemical_formula_sum 'W1 Se2 Br1 F1'
_cell_length_a 4.882
_cell_length_b 4.882
_cell_length_c 5.120
_cell_angle_alpha 90.00
_cell_angle_beta 90.00
_cell_angle_gamma 90.00
_space_group_name_H-M_alt 'P 4/m m m'
_space_group_IT_number 123
_space_group_name_Hall '-P 4 2'
loop_
_atom_site_label
_atom_site_type_symbol
_atom_site_fract_x
_atom_site_fract_y
_atom_site_fract_z
W1 W 0.000 0.000 0.000
Se1 Se 0.000 0.500 0.000
Br1 Br 0.000 0.000 0.500
F1 F 0.500 0.500 0.500
```

=====

(8)
# WSeBr2F

A relaxed structure of WSeBr2F (PBE with a Hubbard U, Alexandria).

```
data_WSeBr2F
_chemical_formula_sum 'W1 Se1 Br2 F1'
_cell_length_a 5.610
_cell_length_b 5.610
_cell_length_c 3.919
_cell_angle_alpha 90.00
_cell_angle_beta 90.00
_cell_angle_gamma 90.00
_space_group_name_H-M_alt 'P 4/m m m'
_space_group_IT_number 123
_space_group_name_Hall '-P 4 2'
loop_
_atom_site_label
_atom_site_type_symbol
_atom_site_fract_x
_atom_site_fract_y
_atom_site_fract_z
W1 W 0.000 0.000 0.000
Se1 Se 0.500 0.500 0.000
Br1 Br 0.000 0.500 0.500
F1 F 0.500 0.500 0.500
```

=====

no.,energy (eV/f.u.),size of the total moment (μB/cell),energy above the most stable polymorph in this dataset (meV/atom)
1,-16.08,0.24,0
2,-15.29,2.18,157
3,-17.53,0.45,0
4,-17.07,2.93,93
5,-16.09,1.00,0
6,-15.16,3.89,336
7,-16.84,0.00,0
8,-13.60,3.12,499